A relaxed Pu2Pd3Au crystal, computed with PBE-GGA.

Lattice parameters (Å, degrees): 5.009 5.553 5.873 118.21 115.24 90.00
Site moments in Bohr magnetons follow the coordinates.
Fractional coordinates of all 6 atoms:
Pu 0.676 0.176 0.352  5.22
Pu 0.324 0.824 0.648  5.22
Au 0.000 0.500 0.000  0.00
Pd 0.000 0.000 0.000  -0.01
Pd 0.349 0.349 0.697  -0.08
Pd 0.651 0.651 0.303  -0.08

## Properties
- SG: Immm
- ΔE_f: -0.27 eV/atom
- Distance to the lowest polymorph of the same formula: 1.61 eV per formula unit

A relaxed CoMoPt2 crystal, computed with PBE-GGA.

Lattice parameters (Å, degrees): 4.777 4.777 4.777 132.85 132.85 68.88
Site moments in Bohr magnetons follow the coordinates.
Fractional coordinates of all 4 atoms:
Co 0.250 0.750 0.500  1.18
Pt 0.500 0.500 0.000  0.03
Pt 0.000 0.000 0.000  0.03
Mo 0.750 0.250 0.500  -0.28

## Properties
- SG: I4/mmm
- ΔE_f: -0.19 eV/atom
- Distance to the lowest polymorph of the same formula: 0.01 eV per formula unit

A relaxed Y3NbGa crystal, computed with PBE-GGA.

Lattice parameters (Å, degrees): 5.393 5.393 5.393 90.00 90.00 90.00
Fractional coordinates of all 5 atoms:
Y 0.000 0.000 0.500
Y 0.500 0.000 0.000
Y 0.000 0.500 0.000
Nb 0.000 0.000 0.000
Ga 0.500 0.500 0.500

## Properties
- SG: Pm-3m
- ΔE_f: 0.58 eV/atom
- Distance to the lowest polymorph of the same formula: 0.00 eV per formula unit

A relaxed MnPH2 crystal, computed with PBE-GGA.

Lattice parameters (Å, degrees): 2.707 2.708 5.967 77.21 76.61 59.94
Site moments in Bohr magnetons follow the coordinates.
Fractional coordinates of all 4 atoms:
H 0.718 0.469 0.152  -0.01
H 0.343 0.100 0.270  -0.01
P 0.852 0.628 0.713  -0.03
Mn 0.622 0.385 0.423  0.42

## Properties
- SG: P1
- Distance to the lowest polymorph of the same formula: 0.82 eV per formula unit

A relaxed KZnPb2 crystal, computed with PBE-GGA.

Lattice parameters (Å, degrees): 5.790 5.790 5.790 126.85 126.85 78.49
Fractional coordinates of all 4 atoms:
Pb 0.250 0.750 0.500
Pb 0.000 0.000 0.000
K 0.750 0.250 0.500
Zn 0.500 0.500 0.000

## Properties
- SG: I-4m2
- ΔE_f: 0.06 eV/atom
- Distance to the lowest polymorph of the same formula: 0.39 eV per formula unit

A relaxed Pr2Cu3Rh crystal, computed with PBE-GGA.

Lattice parameters (Å, degrees): 3.891 4.279 7.458 90.00 90.00 90.00
Fractional coordinates of all 6 atoms:
Cu 0.500 0.000 0.832
Cu 0.500 0.000 0.158
Cu 0.500 0.500 0.673
Pr 0.000 0.000 0.488
Pr 0.000 0.500 0.014
Rh 0.500 0.500 0.336

## Properties
- SG: Pmm2
- ΔE_f: -0.31 eV/atom
- Distance to the lowest polymorph of the same formula: 0.03 eV per formula unit

A relaxed KScTa2 crystal, computed with PBE-GGA.

Lattice parameters (Å, degrees): 4.088 4.088 11.351 79.63 79.63 90.00
Fractional coordinates of all 8 atoms:
Sc 0.750 0.250 0.500
Sc 0.000 0.000 0.000
Ta 0.106 0.625 0.250
Ta 0.644 0.125 0.250
Ta 0.875 0.894 0.750
Ta 0.375 0.356 0.750
K 0.500 0.500 0.000
K 0.250 0.750 0.500

## Properties
- SG: I-42d
- ΔE_f: 1.41 eV/atom
- Distance to the lowest polymorph of the same formula: 3.39 eV per formula unit

A relaxed Tm6SiO12 crystal, computed with PBE-GGA.

Lattice parameters (Å, degrees): 6.287 6.287 6.287 98.82 98.82 98.82
Site moments in Bohr magnetons follow the coordinates.
Fractional coordinates of all 19 atoms:
Tm 0.609 0.295 0.137  0.01
Tm 0.137 0.609 0.295  0.01
Tm 0.295 0.137 0.609  0.01
Tm 0.391 0.705 0.863  0.01
Tm 0.705 0.863 0.391  0.01
Tm 0.863 0.391 0.705  0.01
O 0.590 0.177 0.440  0.16
O 0.177 0.440 0.590  0.16
O 0.712 0.933 0.032  0.14
O 0.823 0.560 0.410  0.16
O 0.440 0.590 0.177  0.16
O 0.560 0.410 0.823  0.16
O 0.032 0.712 0.933  0.14
O 0.933 0.032 0.712  0.14
O 0.968 0.288 0.067  0.14
O 0.410 0.823 0.560  0.16
O 0.288 0.067 0.968  0.14
O 0.067 0.968 0.288  0.14
Si 0.000 0.000 0.000  -0.01

## Properties
- Raw formation energy: -61.3 eV/f.u.
- SG: R-3

A relaxed CrTeBr2 crystal, computed with PBE-GGA.

Lattice parameters (Å, degrees): 4.934 5.658 4.943 66.43 85.14 113.52
Site moments in Bohr magnetons follow the coordinates.
Fractional coordinates of all 4 atoms:
Br 0.500 0.000 0.500  -0.06
Br 0.000 0.000 0.000  -0.06
Te 0.500 0.500 0.000  -0.20
Cr 0.000 0.500 0.500  4.02

## Properties
- Raw formation energy: 0.6 eV/f.u.
- SG: Fmmm
- Distance to the lowest polymorph of the same formula: 1.87 eV per formula unit

A relaxed VFe2Mo crystal, computed with PBE-GGA.

Lattice parameters (Å, degrees): 2.773 2.773 6.442 90.00 90.00 90.00
Fractional coordinates of all 4 atoms:
V 0.500 0.500 0.000
Fe 0.000 0.000 0.216
Fe 0.000 0.000 0.784
Mo 0.500 0.500 0.500

## Properties
- SG: P4/mmm
- ΔE_f: -0.03 eV/atom
- Distance to the lowest polymorph of the same formula: 0.00 eV per formula unit

A relaxed Nd5NpCo4 crystal, computed with PBE-GGA.

Lattice parameters (Å, degrees): 4.075 7.221 9.363 113.85 102.57 90.00
Site moments in Bohr magnetons follow the coordinates.
Fractional coordinates of all 10 atoms:
Co 0.979 0.793 0.958  -0.38
Co 0.630 0.285 0.260  -0.16
Co 0.370 0.715 0.740  -0.16
Co 0.021 0.207 0.042  -0.38
Nd 0.500 0.500 0.000  0.04
Nd 0.155 0.038 0.310  0.02
Nd 0.181 0.568 0.362  0.06
Nd 0.819 0.432 0.638  0.06
Nd 0.845 0.962 0.690  0.02
Np 0.500 0.000 0.000  2.43

## Properties
- SG: C2/m
- ΔE_f: -0.05 eV/atom

A relaxed Sm3AlB2Pt8 crystal, computed with PBE-GGA.

Lattice parameters (Å, degrees): 5.513 5.513 9.562 90.00 90.00 120.00
Fractional coordinates of all 14 atoms:
Pt 0.667 0.333 0.073
Pt 0.167 0.333 0.283
Pt 0.833 0.167 0.717
Pt 0.833 0.667 0.717
Pt 0.333 0.667 0.927
Pt 0.167 0.833 0.283
Pt 0.333 0.167 0.717
Pt 0.667 0.833 0.283
Sm 0.333 0.667 0.589
Sm 0.667 0.333 0.411
Sm 0.000 0.000 0.000
Al 0.000 0.000 0.500
B 0.333 0.667 0.134
B 0.667 0.333 0.866

## Properties
- SG: P-3m1
- ΔE_f: -0.78 eV/atom

Final energy list, top to bottom, in eV/atom: -8.1913, -7.6958, -5.9129, -5.2152, -2.3842, -5.1813, -6.3774, -8.0552, -3.8738, -9.2493, -6.5662, -6.4686
Total magnetic moment list, top to bottom, in μB per formula unit: 10.68, 0.93, 0.00, 0.35, 0.00, 0.00, 0.00, 2.14, 4.07, 0.00, 1.76, 0.00